The following is a GGA-PBE calculation of an optimized crystal structure of La2SiSb, from Alexandria.

POSCAR file:
```
La2SiSb
1.0
-3.4070 2.2470 -5.3959
-5.5977 -3.0518 2.2636
-6.3705 5.8215 2.2052
Sb Si La
2 2 4
Direct
0.0000 0.0000 0.0000
0.7500 0.2500 0.5000
0.5000 0.5000 0.0000
0.2500 0.7500 0.5000
0.5967 0.1250 0.2500
0.1533 0.6250 0.2500
0.3750 0.4033 0.7500
0.8750 0.8467 0.7500
```

Magnetic moment ... 0.00 μB per cell
Energy relative to the lowest polymorph listed for this composition ... 604.5 meV/atom
Total energy ... -5.09 eV per atom